1.
! Be12Mo, optimized geometry, DFT PBE; values from VASP
&SYSTEM
  ibrav = 0, nat = 13, ntyp = 2
/
ATOMIC_SPECIES
Mo 95.94 Mo.upf
Be 9.01 Be.upf
ATOMIC_POSITIONS crystal
Mo 0.0000 0.0000 0.0000
Be 0.0000 0.6490 0.6490
Be 0.0000 0.0000 0.5000
Be 0.6490 0.0000 0.6490
Be 0.5000 0.2886 0.7886
Be 0.0000 0.3510 0.3510
Be 0.0000 0.5000 0.0000
Be 0.7114 0.5000 0.2114
Be 0.3510 0.0000 0.3510
Be 0.5000 0.7114 0.2114
Be 0.5000 0.0000 0.0000
Be 0.5000 0.5000 0.5000
Be 0.2886 0.5000 0.7886
CELL_PARAMETERS angstrom
-3.3710 2.8712 3.2890
-0.1140 -1.5861 -5.2817
-0.6176 -4.9554 2.3424
! * energy of formation from the pure elements: -1.802 eV per formula unit
! * total moment: 0.00 μB/cell
! * space-group type: No. 139


2.
! BeMo, optimized geometry, DFT PBE; values from VASP
&SYSTEM
  ibrav = 0, nat = 8, ntyp = 2
/
ATOMIC_SPECIES
Mo 95.94 Mo.upf
Be 9.01 Be.upf
ATOMIC_POSITIONS crystal
Mo 0.3333 0.6667 0.4082
Mo 0.3333 0.6667 0.0918
Be 0.0000 0.0000 0.7500
Mo 0.6667 0.3333 0.5918
Be 0.0000 0.0000 0.2500
Be 0.3333 0.6667 0.7500
Mo 0.6667 0.3333 0.9082
Be 0.6667 0.3333 0.2500
CELL_PARAMETERS angstrom
1.6459 -2.8508 0.0000
1.6459 2.8508 0.0000
0.0000 0.0000 10.2905
! * energy above the lowest structure with this stoichiometry: 0.376 eV per atom
! * energy of formation from the pure elements: 0.279 eV per formula unit
! * total moment: 0.00 μB/cell
! * space-group type: No. 194


3.
! BeMo, optimized geometry, DFT PBE; values from VASP
&SYSTEM
  ibrav = 0, nat = 4, ntyp = 2
/
ATOMIC_SPECIES
Be 9.01 Be.upf
Mo 95.94 Mo.upf
ATOMIC_POSITIONS crystal
Be 0.5000 0.5000 0.8138
Be 0.0000 0.0000 0.0195
Mo 0.0000 0.5000 0.3028
Mo 0.5000 0.0000 0.5305
CELL_PARAMETERS angstrom
-1.1101 -1.7028 -1.4861
3.7182 -0.1427 -2.6138
1.7030 -3.3859 2.6075
! * energy above the lowest structure with this stoichiometry: 0.599 eV per atom
! * energy of formation from the pure elements: 0.725 eV per formula unit
! * total moment: 0.00 μB/cell
! * space-group type: No. 59


Number 2 is which compound? BeMo


Which formula does entry 2 have? BeMo